VASP calculation (PBE+U) on a relaxed CoHgIO6 crystal.

Lattice parameters (Å, degrees): 5.074 5.074 5.089 90.00 90.00 120.00
Fractional coordinates of all 9 atoms:
Co 0.000 0.000 0.000
Hg 0.667 0.333 0.500
I 0.333 0.667 0.000
O 0.041 0.333 0.210
O 0.041 0.708 0.790
O 0.292 0.333 0.790
O 0.292 0.959 0.210
O 0.667 0.708 0.210
O 0.667 0.959 0.790

Summary:
Calculated total energy: -4.55 eV/atom